[1]
Compound: TaPb3S6
Source: Alexandria
Functional: PBE
Structure: relaxed

**Size of the total moment**: 0.000 μB/cell
**E**: -106.2 eV per cell
**Raw formation energy**: -0.538 eV/atom
**SG**: No. 14

Unit cell a=6.781 b=7.458 c=11.770 alpha=90.00 beta=122.52 gamma=90.00
Fractional coordinates of all 20 atoms:
Ta (0.000, 0.000, 0.000)
Ta (0.000, 0.500, 0.500)
Pb (0.297, 0.071, 0.777)
Pb (0.297, 0.429, 0.277)
Pb (0.500, 0.000, 0.500)
Pb (0.500, 0.500, 0.000)
Pb (0.703, 0.571, 0.723)
Pb (0.703, 0.929, 0.223)
S (0.102, 0.061, 0.231)
S (0.102, 0.439, 0.731)
S (0.238, 0.725, 0.078)
S (0.238, 0.775, 0.578)
S (0.345, 0.167, 0.042)
S (0.345, 0.333, 0.542)
S (0.655, 0.667, 0.458)
S (0.655, 0.833, 0.958)
S (0.762, 0.225, 0.422)
S (0.762, 0.275, 0.922)
S (0.898, 0.561, 0.269)
S (0.898, 0.939, 0.769)

---

[2]
Compound: Li3MgN
Source: Alexandria
Functional: PBE
Structure: relaxed

**Polymorph energy (0 for the lowest one)**: 1477 meV/atom
**Size of the total moment**: 0.000 μB/cell
**E**: -8.6 eV per cell
**Raw formation energy**: 1.406 eV/atom
**SG**: No. 221

Unit cell a=4.763 b=4.763 c=4.763 alpha=90.00 beta=90.00 gamma=90.00
Fractional coordinates of all 5 atoms:
Li (0.000, 0.000, 0.500)
Li (0.000, 0.500, 0.000)
Li (0.500, 0.000, 0.000)
Mg (0.000, 0.000, 0.000)
N (0.500, 0.500, 0.500)

---

[3]
Compound: Tl4Rh
Source: Alexandria
Functional: PBE
Structure: relaxed

**Polymorph energy (0 for the lowest one)**: 48 meV/atom
**Size of the total moment**: 0.000 μB/cell
**E**: -16.4 eV per cell
**Energy of formation from the pure elements**: 0.09 eV/atom
**SG**: No. 139

Unit cell a=11.726 b=11.726 c=11.726 alpha=163.66 beta=163.66 gamma=23.19
Fractional coordinates of all 5 atoms:
Tl (0.075, 0.075, 0.000)
Tl (0.312, 0.312, 0.000)
Tl (0.688, 0.688, 0.000)
Tl (0.925, 0.925, 0.000)
Rh (0.500, 0.500, 0.000)

---

[4]
Compound: Pm5Er4In
Source: Alexandria
Functional: PBE
Structure: relaxed

**Polymorph energy (0 for the lowest one)**: 158 meV/atom
**Size of the total moment**: 0.000 μB/cell
**E**: -43.2 eV per cell
**Energy of formation from the pure elements**: 0.15 eV/atom
**SG**: No. 107

Unit cell a=8.063 b=8.063 c=8.063 alpha=97.72 beta=97.72 gamma=136.99
Fractional coordinates of all 10 atoms:
Pm (0.000, 0.000, 0.000)
Pm (0.532, 0.532, 0.625)
Pm (0.532, 0.907, 0.000)
Pm (0.907, 0.532, 0.000)
Pm (0.907, 0.907, 0.375)
Er (0.212, 0.531, 0.319)
Er (0.212, 0.893, 0.681)
Er (0.531, 0.212, 0.319)
Er (0.893, 0.212, 0.681)
In (0.480, 0.480, 0.000)

---

[5]
Compound: TlWBr6
Source: Alexandria
Functional: PBE
Structure: relaxed

**Polymorph energy (0 for the lowest one)**: 61 meV/atom
**Size of the total moment**: 1.007 μB/cell
**E**: -29.4 eV per cell
**Raw formation energy**: -0.503 eV/atom
**SG**: No. 166

Unit cell a=7.791 b=7.791 c=7.791 alpha=55.12 beta=55.12 gamma=55.12
Fractional coordinates of all 8 atoms:
Tl (0.000, 0.000, 0.000)
W (0.500, 0.500, 0.500)
Br (0.099, 0.590, 0.590)
Br (0.410, 0.410, 0.901)
Br (0.410, 0.901, 0.410)
Br (0.590, 0.099, 0.590)
Br (0.590, 0.590, 0.099)
Br (0.901, 0.410, 0.410)

---

[6]
Compound: PrY5Al6
Source: Alexandria
Functional: PBE
Structure: relaxed

**Size of the total moment**: 0.000 μB/cell
**E**: -64.4 eV per cell
**Energy of formation from the pure elements**: -0.40 eV/atom
**SG**: No. 65

Unit cell a=8.116 b=8.116 c=7.284 alpha=90.00 beta=90.00 gamma=143.18
Fractional coordinates of all 12 atoms:
Pr (0.000, 0.000, 0.000)
Y (0.000, 0.000, 0.500)
Y (0.332, 0.668, 0.000)
Y (0.336, 0.664, 0.500)
Y (0.664, 0.336, 0.500)
Y (0.668, 0.332, 0.000)
Al (0.170, 0.830, 0.256)
Al (0.170, 0.830, 0.744)
Al (0.500, 0.500, 0.255)
Al (0.500, 0.500, 0.745)
Al (0.830, 0.170, 0.256)
Al (0.830, 0.170, 0.744)

---

[7]
Compound: ZrGaRu2O
Source: Alexandria
Functional: PBE
Structure: relaxed

**Size of the total moment**: 1.258 μB/cell
**E**: -32.9 eV per cell
**Raw formation energy**: 0.428 eV/atom
**SG**: No. 123

Unit cell a=4.704 b=4.704 c=3.654 alpha=90.00 beta=90.00 gamma=90.00
Fractional coordinates of all 5 atoms:
Zr (0.000, 0.000, 0.000)
Ga (0.500, 0.500, 0.500)
Ru (0.000, 0.500, 0.500)
Ru (0.500, 0.000, 0.500)
O (0.500, 0.500, 0.000)

---

[8]
Compound: Ac2Ag3SnGe4
Source: Alexandria
Functional: PBE
Structure: relaxed

**Size of the total moment**: 0.000 μB/cell
**E**: -42.7 eV per cell
**Energy of formation from the pure elements**: -0.35 eV/atom
**SG**: No. 115

Unit cell a=4.668 b=4.668 c=10.849 alpha=90.00 beta=90.00 gamma=90.00
Fractional coordinates of all 10 atoms:
Ac (0.000, 0.500, 0.235)
Ac (0.500, 0.000, 0.765)
Ag (0.000, 0.500, 0.879)
Ag (0.500, 0.000, 0.121)
Ag (0.500, 0.500, 0.500)
Sn (0.000, 0.000, 0.500)
Ge (0.000, 0.000, 0.000)
Ge (0.000, 0.500, 0.643)
Ge (0.500, 0.000, 0.357)
Ge (0.500, 0.500, 0.000)

---

[9]
Compound: CsGe3P
Source: Alexandria
Functional: PBE
Structure: relaxed

**Polymorph energy (0 for the lowest one)**: 1648 meV/atom
**Size of the total moment**: 0.000 μB/cell
**E**: -9.1 eV per cell
**Energy of formation from the pure elements**: 2.21 eV/atom
**SG**: No. 221

Unit cell a=5.691 b=5.691 c=5.691 alpha=90.00 beta=90.00 gamma=90.00
Fractional coordinates of all 5 atoms:
Cs (0.000, 0.000, 0.000)
Ge (0.000, 0.000, 0.500)
Ge (0.000, 0.500, 0.000)
Ge (0.500, 0.000, 0.000)
P (0.500, 0.500, 0.500)

---

- What is the size of the total moment in the sixth record?
  0.000 μB/cell

---

What did the sixth record say?
Compound: PrY5Al6
Source: Alexandria
Functional: PBE
Structure: relaxed

**Size of the total moment**: 0.000 μB/cell
**E**: -64.4 eV per cell
**Energy of formation from the pure elements**: -0.40 eV/atom
**SG**: No. 65

Unit cell a=8.116 b=8.116 c=7.284 alpha=90.00 beta=90.00 gamma=143.18
Fractional coordinates of all 12 atoms:
Pr (0.000, 0.000, 0.000)
Y (0.000, 0.000, 0.500)
Y (0.332, 0.668, 0.000)
Y (0.336, 0.664, 0.500)
Y (0.664, 0.336, 0.500)
Y (0.668, 0.332, 0.000)
Al (0.170, 0.830, 0.256)
Al (0.170, 0.830, 0.744)
Al (0.500, 0.500, 0.255)
Al (0.500, 0.500, 0.745)
Al (0.830, 0.170, 0.256)
Al (0.830, 0.170, 0.744)

---

- What is the E in the first record?
  -106.2 eV per cell